Entry 1:
An optimized crystal structure of Cu2PtSe, computed with PBE.

Geometry as POSCAR:
```
Cu2PtSe
1.0
4.386 0.000 0.000
2.193 3.799 0.000
2.193 1.266 3.581
Cu Pt Se
2 1 1
Direct
0.000 0.000 0.000
0.250 0.250 0.250
0.500 0.500 0.500
0.750 0.750 0.750
```

Results
- Total moment: 0.000 Bohr magnetons per cell
- DFT total energy: -4.244 eV/atom
- E_form (uncorrected): 0.19 eV per atom

Entry 2:
An optimized crystal structure of Cu2ReAg, computed with PBE.

Geometry as POSCAR:
```
Cu2ReAg
1.0
3.718 0.000 0.000
0.000 2.662 -0.008
0.000 2.686 5.776
Ag Cu Re
1 2 1
Direct
0.500 0.750 0.750
0.000 0.978 0.022
0.000 0.522 0.478
0.500 0.250 0.250
```

Results
- Total moment: 0.000 Bohr magnetons per cell
- DFT total energy: -5.460 eV/atom
- Energy above the lowest structure with this stoichiometry: 150 meV/atom

Entry 3:
An optimized crystal structure of Ba5TlAu4, computed with PBE.

Geometry as POSCAR:
```
Ba5TlAu4
1.0
4.070 0.000 0.000
0.000 4.070 0.000
0.000 0.000 20.647
Ba Tl Au
5 1 4
Direct
0.500 0.500 0.111
0.500 0.500 0.306
0.500 0.500 0.500
0.500 0.500 0.694
0.500 0.500 0.889
0.000 0.000 0.000
0.000 0.000 0.208
0.000 0.000 0.403
0.000 0.000 0.597
0.000 0.000 0.792
```

Results
- Total moment: 0.000 Bohr magnetons per cell
- DFT total energy: -3.132 eV/atom

Entry 4:
An optimized crystal structure of RbTeS4, computed with PBE.

Geometry as POSCAR:
```
RbTeS4
1.0
-5.428 0.636 -0.094
-0.395 1.481 5.212
-1.115 15.792 -1.492
Rb Te S
2 2 8
Direct
0.153 0.403 0.194
0.847 0.597 0.806
0.606 0.856 0.288
0.394 0.144 0.712
0.303 0.834 0.624
0.573 0.542 0.624
0.025 0.965 0.084
0.391 0.951 0.084
0.697 0.166 0.376
0.427 0.458 0.376
0.975 0.035 0.916
0.609 0.049 0.916
```

Results
- Total moment: 0.000 Bohr magnetons per cell
- DFT total energy: -3.620 eV/atom
- Energy above the lowest structure with this stoichiometry: 108 meV/atom
- E_form (uncorrected): -0.18 eV per atom

Entry 5:
An optimized crystal structure of FeSiC2, computed with PBE.

Geometry as POSCAR:
```
FeSiC2
1.0
-2.167 2.000 0.701
-1.292 -2.426 2.928
3.734 2.687 3.874
C Si Fe
4 2 2
Direct
0.000 0.175 0.470
0.000 0.825 0.470
0.500 0.675 0.970
0.500 0.325 0.970
0.000 0.000 0.996
0.500 0.500 0.496
0.000 0.500 0.202
0.500 0.000 0.702
```

Results
- Total moment: 0.000 Bohr magnetons per cell
- DFT total energy: -7.610 eV/atom
- E_form (uncorrected): 0.47 eV per atom

Entry 6:
An optimized crystal structure of ScCr3Ag, computed with PBE.

Geometry as POSCAR:
```
ScCr3Ag
1.0
-3.006 3.306 -2.062
-3.747 -3.167 0.387
-1.067 1.806 4.451
Sc Cr Ag
1 3 1
Direct
0.500 0.500 0.500
0.000 0.500 0.000
0.000 0.000 0.500
0.500 0.000 0.000
0.000 0.000 0.000
```

Results
- Total moment: 12.169 Bohr magnetons per cell
- DFT total energy: -6.238 eV/atom
- Energy above the lowest structure with this stoichiometry: 0 meV/atom

Entry 7:
An optimized crystal structure of Pm2MgPt2, computed with PBE.

Geometry as POSCAR:
```
Pm2MgPt2
1.0
-1.141 3.116 3.109
4.341 1.670 3.244
2.217 5.123 -0.996
Pm Mg Pt
2 1 2
Direct
0.699 0.801 0.301
0.301 0.199 0.699
0.500 0.500 0.000
0.000 0.237 0.263
0.000 0.763 0.737
```

Results
- Total moment: 0.000 Bohr magnetons per cell
- DFT total energy: -5.600 eV/atom
- Energy above the lowest structure with this stoichiometry: 0 meV/atom

Entry 8:
An optimized crystal structure of Re3Ir, computed with PBE.

Geometry as POSCAR:
```
Re3Ir
1.0
3.898 0.000 0.000
0.000 3.898 0.000
0.000 0.000 3.898
Ir Re
1 3
Direct
0.000 0.000 0.000
0.000 0.500 0.500
0.500 0.000 0.500
0.500 0.500 0.000
```

Results
- Total moment: 0.000 Bohr magnetons per cell
- DFT total energy: -11.639 eV/atom